Entry from Alexandria via LeMat-Bulk: a relaxed HPb3W crystal (GGA-PBE).

Cell and atoms, written as CIF:
```
data_HPb3W
_cell_length_a 4.785
_cell_length_b 4.785
_cell_length_c 4.785
_cell_angle_alpha 90.00
_cell_angle_beta 90.00
_cell_angle_gamma 90.00
_space_group_name_H-M_alt 'P 1'
_space_group_IT_number 1
_space_group_name_Hall 'P 1'
loop_
_atom_site_label
_atom_site_type_symbol
_atom_site_fract_x
_atom_site_fract_y
_atom_site_fract_z
Pb1 Pb 0.500 0.000 0.000
Pb2 Pb 0.000 0.500 0.000
H1 H 0.000 0.000 0.000
Pb3 Pb 0.000 0.000 0.500
W1 W 0.500 0.500 0.500
```

## Properties
The calculation puts the energy above the most stable polymorph in this dataset at 0.58 eV per formula unit. As for the space-group type: Pm-3m, No. 221.

=====

Entry from Alexandria via LeMat-Bulk: a relaxed Li2LaMo crystal (GGA-PBE).

Cell and atoms, written as CIF:
```
data_Li2LaMo
_cell_length_a 4.520
_cell_length_b 2.868
_cell_length_c 6.500
_cell_angle_alpha 75.86
_cell_angle_beta 90.00
_cell_angle_gamma 90.00
_space_group_name_H-M_alt 'P 1'
_space_group_IT_number 1
_space_group_name_Hall 'P 1'
loop_
_atom_site_label
_atom_site_type_symbol
_atom_site_fract_x
_atom_site_fract_y
_atom_site_fract_z
La1 La 0.500 0.799 0.719
Mo1 Mo 0.000 0.449 0.475
Li1 Li 0.000 0.066 0.052
Li2 Li 0.500 0.186 0.254
```

## Properties
The calculation puts the energy above the most stable polymorph in this dataset at 0.33 eV per formula unit. As for the space-group type: Pm, No. 6. Its formation energy is 494 meV/atom.

=====

Entry from Alexandria via LeMat-Bulk: a relaxed La6InFe2 crystal (GGA-PBE).

Cell and atoms, written as CIF:
```
data_La6InFe2
_cell_length_a 8.875
_cell_length_b 8.875
_cell_length_c 8.875
_cell_angle_alpha 107.25
_cell_angle_beta 108.80
_cell_angle_gamma 112.41
_space_group_name_H-M_alt 'P 1'
_space_group_IT_number 1
_space_group_name_Hall 'P 1'
loop_
_atom_site_label
_atom_site_type_symbol
_atom_site_fract_x
_atom_site_fract_y
_atom_site_fract_z
La1 La 0.701 0.013 0.312
La2 La 0.479 0.292 0.187
Fe1 Fe 0.391 0.000 0.391
La3 La 0.783 0.221 0.004
La4 La 0.106 0.292 0.813
La5 La 0.217 0.779 0.996
La6 La 0.894 0.708 0.187
Fe2 Fe 0.500 0.394 0.894
La7 La 0.701 0.388 0.688
La8 La 0.783 0.779 0.562
La9 La 0.521 0.708 0.813
In1 In 0.000 0.500 0.500
Fe3 Fe 0.500 0.606 0.106
La10 La 0.217 0.221 0.438
La11 La 0.299 0.612 0.312
La12 La 0.299 0.987 0.688
Fe4 Fe 0.609 0.000 0.609
In2 In 0.000 0.000 0.000
```

## Properties
As for the space-group type: Immm, No. 71. Its formation energy is -80 meV/atom.

=====

Entry from Alexandria via LeMat-Bulk: a relaxed K2SiTc crystal (GGA-PBE).

Cell and atoms, written as CIF:
```
data_K2SiTc
_cell_length_a 6.423
_cell_length_b 6.423
_cell_length_c 6.423
_cell_angle_alpha 141.98
_cell_angle_beta 125.86
_cell_angle_gamma 68.06
_space_group_name_H-M_alt 'P 1'
_space_group_IT_number 1
_space_group_name_Hall 'P 1'
loop_
_atom_site_label
_atom_site_type_symbol
_atom_site_fract_x
_atom_site_fract_y
_atom_site_fract_z
K1 K 0.284 0.784 0.500
K2 K 0.975 0.975 0.000
Tc1 Tc 0.663 0.163 0.500
Si1 Si 0.578 0.578 0.000
```

## Properties
As for the space-group type: Imm2, No. 44. The value obtained for the formation energy without anion corrections is 628 meV/atom.

=====

Asked for calculated total energy across the records above, the calculation gives -4.4576 -4.4023 -5.5498 -3.8678 eV per atom in order.